Compound: SmAl3Br12
Source: the Alexandria database
Functional: GGA-PBEsol
Structure: optimized geometry

Lattice parameters (Å, degrees): 10.5773 10.5773 18.3460 90.00 90.00 120.00
Space group P3_121 (No. 152)
Inequivalent atoms, fractional coordinates:
Sm (0.0000, 0.7425, 0.1667) (multiplicity 3)
Al (0.0000, 0.0851, 0.6667) (multiplicity 3)
Al (0.2980, 0.6521, 0.2318) (multiplicity 6)
Br (0.0350, 0.2239, 0.7706) (multiplicity 6)
Br (0.0582, 0.1950, 0.3682) (multiplicity 6)
Br (0.0724, 0.6070, 0.2845) (multiplicity 6)
Br (0.1542, 0.7142, 0.8666) (multiplicity 6)
Br (0.1967, 0.6831, 0.6374) (multiplicity 6)
Br (0.2239, 0.5105, 0.4600) (multiplicity 6)

Output
- D(E_F): 0.000 states/eV per atom
- Final energy: -3.759 eV per atom